Entry 1:
# Ag3C | Alexandria | PBE | relaxed
data_Ag3C
_chemical_formula_sum 'Ag6 C2'
_cell_length_a 5.069
_cell_length_b 5.069
_cell_length_c 5.069
_cell_angle_alpha 90.00
_cell_angle_beta 90.00
_cell_angle_gamma 90.00
_space_group_name_H-M_alt 'P 1'
_space_group_IT_number 1
_space_group_name_Hall 'P 1'
loop_
_atom_site_label
_atom_site_fract_x
_atom_site_fract_y
_atom_site_fract_z
_atom_site_occupancy
Ag1 0.000 0.250 0.500 1
Ag2 0.000 0.750 0.500 1
Ag3 0.250 0.500 0.000 1
Ag4 0.500 0.000 0.250 1
Ag5 0.500 0.000 0.750 1
Ag6 0.750 0.500 0.000 1
C1 0.000 0.000 0.000 1
C2 0.500 0.500 0.500 1
# DOS at the Fermi energy   0.672 states/eV/atom
# Energy of formation from the pure elements   1.49 eV per atom
# Excess energy over the best structure of this formula in the dataset   0.930 eV/atom
# SG   Pm-3n

Entry 2:
# YTl | Alexandria | PBE | relaxed
data_YTl
_chemical_formula_sum 'Y12 Tl12'
_cell_length_a 10.698
_cell_length_b 9.397
_cell_length_c 6.704
_cell_angle_alpha 90.00
_cell_angle_beta 90.00
_cell_angle_gamma 90.00
_space_group_name_H-M_alt 'P 1'
_space_group_IT_number 1
_space_group_name_Hall 'P 1'
loop_
_atom_site_label
_atom_site_fract_x
_atom_site_fract_y
_atom_site_fract_z
_atom_site_occupancy
Y1 0.115 0.250 0.000 1
Y2 0.115 0.250 0.500 1
Y3 0.175 0.638 0.250 1
Y4 0.175 0.862 0.750 1
Y5 0.376 0.039 0.250 1
Y6 0.376 0.461 0.750 1
Y7 0.624 0.539 0.250 1
Y8 0.624 0.961 0.750 1
Y9 0.825 0.138 0.250 1
Y10 0.825 0.362 0.750 1
Y11 0.885 0.750 0.000 1
Y12 0.885 0.750 0.500 1
Tl1 0.085 0.547 0.750 1
Tl2 0.085 0.953 0.250 1
Tl3 0.353 0.116 0.750 1
Tl4 0.353 0.384 0.250 1
Tl5 0.416 0.750 0.000 1
Tl6 0.416 0.750 0.500 1
Tl7 0.584 0.250 0.000 1
Tl8 0.584 0.250 0.500 1
Tl9 0.647 0.616 0.750 1
Tl10 0.647 0.884 0.250 1
Tl11 0.915 0.047 0.750 1
Tl12 0.915 0.453 0.250 1
# DOS at the Fermi energy   0.885 states/eV/atom
# Energy of formation from the pure elements   -0.36 eV per atom
# SG   Pbcm

> Which of these has the highest DOS at the Fermi energy?

YTl

> Among the records above, which one has the lowest energy of formation from the pure elements?

YTl

> Among the records above, which one has the lowest energy of formation from the pure elements?

YTl